(1)
# PBE NaCoReAg, relaxed
# E above lowest polymorph	0.08	eV per formula unit
data_NaCoReAg
_chemical_formula_sum 'Na1 Co1 Re1 Ag1'
_cell_length_a 4.432
_cell_length_b 4.432
_cell_length_c 4.432
_cell_angle_alpha 60.00
_cell_angle_beta 60.00
_cell_angle_gamma 60.00
_symmetry_space_group_name_H-M 'P 1'
_symmetry_Int_Tables_number 1
_symmetry_space_group_name_Hall 'P 1'
loop_
_atom_site_label
_atom_site_fract_x
_atom_site_fract_y
_atom_site_fract_z
Co1 0.000 0.000 0.000
Ag1 0.500 0.500 0.500
Na1 0.750 0.750 0.750
Re1 0.250 0.250 0.250

(2)
# PBE NaCoReAg, relaxed
# E above lowest polymorph	0.00	eV per formula unit
data_NaCoReAg
_chemical_formula_sum 'Na1 Co1 Re1 Ag1'
_cell_length_a 4.344
_cell_length_b 4.344
_cell_length_c 4.344
_cell_angle_alpha 60.00
_cell_angle_beta 60.00
_cell_angle_gamma 60.00
_symmetry_space_group_name_H-M 'P 1'
_symmetry_Int_Tables_number 1
_symmetry_space_group_name_Hall 'P 1'
loop_
_atom_site_label
_atom_site_fract_x
_atom_site_fract_y
_atom_site_fract_z
Co1 0.250 0.250 0.250
Ag1 0.000 0.000 0.000
Na1 0.750 0.750 0.750
Re1 0.500 0.500 0.500

Number 1: E_tot -19.8 eV/cell. Number 2: E_tot -19.8 eV/cell.